No. 1
! ErTm2TlN (PBE, relaxed); values from VASP
&SYSTEM
  ibrav = 0, nat = 5, ntyp = 4
/
ATOMIC_SPECIES
Tm 168.93 Tm.upf
N 14.01 N.upf
Er 167.26 Er.upf
Tl 204.38 Tl.upf
CELL_PARAMETERS angstrom
-1.143 3.667 -2.819
-2.319 -2.947 -2.894
-3.971 0.678 2.492
ATOMIC_POSITIONS angstrom
Tm -1.985 0.339 1.246
Tm -1.160 -1.474 -1.447
N 0.000 0.000 0.000
Er -0.571 1.834 -1.409
Tl -3.716 0.699 -1.610
! SG: No. 123
! E_form (uncorrected) in eV/f.u.: -4.78
! Energy in eV/atom: -5.795
! Magnetization in μB per formula unit: 0.00
! Calculated density in Mg/m³: 11.2

=====

No. 2
! SmGa7Fe5 (PBE, relaxed); values from VASP
&SYSTEM
  ibrav = 0, nat = 13, ntyp = 3
/
ATOMIC_SPECIES
Ga 69.72 Ga.upf
Fe 55.84 Fe.upf
Sm 150.36 Sm.upf
CELL_PARAMETERS angstrom
4.686 0.000 1.924
2.350 6.156 0.944
0.004 0.001 6.657
ATOMIC_POSITIONS angstrom
Ga 3.891 2.100 3.861
Ga 1.805 1.421 2.273
Ga 2.846 1.230 6.405
Ga 4.224 4.847 3.048
Ga 5.470 2.154 6.683
Ga 6.216 4.111 4.867
Ga 3.138 4.088 5.694
Fe 2.327 0.010 4.287
Fe 1.189 3.082 0.488
Fe 3.498 3.082 1.436
Fe 5.260 4.671 7.194
Fe 0.018 0.010 3.339
Sm 2.362 6.136 7.583
! SG: No. 44
! Energy in eV/atom: -5.535
! Calculated formation energy in eV per formula unit: -3.74
! Magnetization in μB per formula unit: 9.71
! Calculated density in Mg/m³: 7.9

=====

Number 2 is which compound?
SmGa7Fe5